one.
An optimized crystal structure of ScCd12Ag6. Source: Alexandria via LeMat-Bulk, functional GGA-PBE. Values from VASP.

Magnetization ... 0.00 μB/cell
V ... 410.85 Å³/cell

Geometry as Quantum ESPRESSO input:
```
&SYSTEM
  ibrav = 0, nat = 19, ntyp = 3
/
ATOMIC_SPECIES
Ag 107.87 Ag.upf
Cd 112.41 Cd.upf
Sc 44.96 Sc.upf
CELL_PARAMETERS angstrom
7.795 -0.538 -0.645
-1.714 7.624 -0.645
-1.714 -1.997 7.386
ATOMIC_POSITIONS crystal
Ag 0.923 0.550 0.825
Ag 0.077 0.450 0.175
Ag 0.825 0.923 0.550
Ag 0.175 0.077 0.450
Ag 0.550 0.825 0.923
Ag 0.450 0.175 0.077
Cd 0.274 0.826 0.144
Cd 0.174 0.856 0.726
Cd 0.826 0.144 0.274
Cd 0.433 0.807 0.526
Cd 0.474 0.567 0.193
Cd 0.856 0.726 0.174
Cd 0.526 0.433 0.807
Cd 0.807 0.526 0.433
Cd 0.726 0.174 0.856
Cd 0.193 0.474 0.567
Cd 0.144 0.274 0.826
Cd 0.567 0.193 0.474
Sc 0.000 0.000 0.000
```

two.
An optimized crystal structure of ScCd12Ag6. Source: Alexandria via LeMat-Bulk, functional GGA-PBE. Values from VASP.

Magnetization ... 0.00 μB/cell
V ... 395.94 Å³/cell

Geometry as Quantum ESPRESSO input:
```
&SYSTEM
  ibrav = 0, nat = 19, ntyp = 3
/
ATOMIC_SPECIES
Cd 112.41 Cd.upf
Ag 107.87 Ag.upf
Sc 44.96 Sc.upf
CELL_PARAMETERS angstrom
-7.178 -1.230 0.963
-0.047 -5.094 -5.292
1.357 -5.348 4.850
ATOMIC_POSITIONS crystal
Cd 0.567 0.201 0.471
Cd 0.471 0.567 0.201
Cd 0.158 0.374 0.032
Cd 0.433 0.799 0.529
Cd 0.201 0.471 0.567
Cd 0.032 0.158 0.374
Cd 0.626 0.968 0.842
Cd 0.374 0.032 0.158
Cd 0.842 0.626 0.968
Cd 0.799 0.529 0.433
Cd 0.968 0.842 0.626
Cd 0.529 0.433 0.799
Ag 0.275 0.733 0.888
Ag 0.267 0.112 0.725
Ag 0.725 0.267 0.112
Ag 0.888 0.275 0.733
Ag 0.112 0.725 0.267
Ag 0.733 0.888 0.275
Sc 0.000 0.000 0.000
```

Relative calculated energies, zero for the most stable structure, unit kJ/mol of atoms: one 5.3; two 0.0.